1.
{
  "formula": "CaCeGaHg",
  "functional": "PBE",
  "state": "relaxed",
  "cell": [[7.490, 0.000, 0.000], [0.000, 7.490, 0.000], [0.000, 0.000, 7.490]],
  "species": ["Ca", "Ca", "Ca", "Ca", "Ce", "Ce", "Ce", "Ce", "Ga", "Ga", "Ga", "Ga", "Hg", "Hg", "Hg", "Hg"],
  "fractional_positions": [[0.000, 0.000, 0.000], [0.000, 0.500, 0.500], [0.500, 0.000, 0.500], [0.500, 0.500, 0.000], [0.000, 0.000, 0.500], [0.000, 0.500, 0.000], [0.500, 0.000, 0.000], [0.500, 0.500, 0.500], [0.250, 0.250, 0.250], [0.250, 0.750, 0.750], [0.750, 0.250, 0.750], [0.750, 0.750, 0.250], [0.250, 0.250, 0.750], [0.250, 0.750, 0.250], [0.750, 0.250, 0.250], [0.750, 0.750, 0.750]],
  "spacegroup": "F-43m",
  "m_tot_mub_per_cell": 3.743,
  "delta_e_f_ev_per_atom": -0.444
}

---

2.
{
  "formula": "CaCeGa2Ir2",
  "functional": "PBE",
  "state": "relaxed",
  "cell": [[4.350, 0.000, 0.000], [-2.175, 3.767, 0.000], [0.000, 0.000, 7.634]],
  "species": ["Ca", "Ce", "Ga", "Ga", "Ir", "Ir"],
  "fractional_positions": [[0.000, 0.000, 0.000], [0.000, 0.000, 0.500], [0.333, 0.667, 0.250], [0.667, 0.333, 0.750], [0.333, 0.667, 0.723], [0.667, 0.333, 0.277]],
  "spacegroup": "P-3m1",
  "m_tot_mub_per_cell": 0.000,
  "delta_e_f_ev_per_atom": -0.665
}

---

3.
{
  "formula": "CaCeGa5Ir2",
  "functional": "PBE",
  "state": "relaxed",
  "cell": [[4.774, 0.000, 0.000], [0.000, 4.774, 0.000], [0.000, 0.000, 9.190]],
  "species": ["Ca", "Ce", "Ga", "Ga", "Ga", "Ga", "Ga", "Ir", "Ir"],
  "fractional_positions": [[0.000, 0.000, 0.000], [0.000, 0.000, 0.500], [0.000, 0.500, 0.285], [0.000, 0.500, 0.715], [0.500, 0.000, 0.285], [0.500, 0.000, 0.715], [0.500, 0.500, 0.000], [0.500, 0.500, 0.251], [0.500, 0.500, 0.749]],
  "spacegroup": "P4/mmm",
  "m_tot_mub_per_cell": 1.245,
  "delta_e_f_ev_per_atom": -0.329
}

---

4.
{
  "formula": "CaCeGaIr",
  "functional": "PBE",
  "state": "relaxed",
  "cell": [[7.068, 0.000, 0.000], [0.000, 7.068, 0.000], [0.000, 0.000, 7.068]],
  "species": ["Ca", "Ca", "Ca", "Ca", "Ce", "Ce", "Ce", "Ce", "Ga", "Ga", "Ga", "Ga", "Ir", "Ir", "Ir", "Ir"],
  "fractional_positions": [[0.000, 0.000, 0.000], [0.000, 0.500, 0.500], [0.500, 0.000, 0.500], [0.500, 0.500, 0.000], [0.000, 0.000, 0.500], [0.000, 0.500, 0.000], [0.500, 0.000, 0.000], [0.500, 0.500, 0.500], [0.250, 0.250, 0.250], [0.250, 0.750, 0.750], [0.750, 0.250, 0.750], [0.750, 0.750, 0.250], [0.250, 0.250, 0.750], [0.250, 0.750, 0.250], [0.750, 0.250, 0.250], [0.750, 0.750, 0.750]],
  "spacegroup": "F-43m",
  "m_tot_mub_per_cell": 1.231,
  "delta_e_f_ev_per_atom": -0.451
}

---

5.
{
  "formula": "CaCeMgGa",
  "functional": "PBE",
  "state": "relaxed",
  "cell": [[7.507, 0.000, 0.000], [0.000, 7.507, 0.000], [0.000, 0.000, 7.507]],
  "species": ["Ca", "Ca", "Ca", "Ca", "Ce", "Ce", "Ce", "Ce", "Mg", "Mg", "Mg", "Mg", "Ga", "Ga", "Ga", "Ga"],
  "fractional_positions": [[0.000, 0.000, 0.000], [0.000, 0.500, 0.500], [0.500, 0.000, 0.500], [0.500, 0.500, 0.000], [0.000, 0.000, 0.500], [0.000, 0.500, 0.000], [0.500, 0.000, 0.000], [0.500, 0.500, 0.500], [0.250, 0.250, 0.250], [0.250, 0.750, 0.750], [0.750, 0.250, 0.750], [0.750, 0.750, 0.250], [0.250, 0.250, 0.750], [0.250, 0.750, 0.250], [0.750, 0.250, 0.250], [0.750, 0.750, 0.750]],
  "spacegroup": "F-43m",
  "m_tot_mub_per_cell": 3.839,
  "delta_e_f_ev_per_atom": -0.212
}

---

6.
{
  "formula": "Ca4Ce3GaN8",
  "functional": "PBE",
  "state": "relaxed",
  "cell": [[6.176, -3.414, 0.000], [6.176, 3.414, 0.000], [-3.871, 0.000, 5.732]],
  "species": ["Ca", "Ca", "Ca", "Ca", "Ce", "Ce", "Ce", "Ga", "N", "N", "N", "N", "N", "N", "N", "N"],
  "fractional_positions": [[0.000, 0.000, 0.000], [0.000, 0.500, 0.500], [0.500, 0.000, 0.500], [0.500, 0.500, 0.000], [0.000, 0.000, 0.500], [0.000, 0.500, 0.000], [0.500, 0.000, 0.000], [0.500, 0.500, 0.500], [0.238, 0.238, 0.217], [0.239, 0.239, 0.757], [0.256, 0.733, 0.270], [0.267, 0.744, 0.730], [0.733, 0.256, 0.270], [0.744, 0.267, 0.730], [0.761, 0.761, 0.243], [0.762, 0.762, 0.783]],
  "spacegroup": "C2/m",
  "formation_energy_uncorrected_mev_per_atom": -973,
  "m_tot_mub_per_cell": 0.674
}